Entry 1:
A plane-wave DFT calculation with GGA-PBE was carried out for an optimized crystal structure of PmZrTl2.

a b c (Å): 4.377 4.865 4.865
angles (deg): 90.00 90.00 90.00
Last column: magnetic moment on the atom in μB.
Element x y z (fractional)
Tl  0.000  0.000  0.500  0.00
Tl  0.000  0.500  0.000  0.00
Zr  0.500  0.000  0.000  0.15
Pm  0.500  0.500  0.500  0.05

Properties
Energy of formation, meV/atom: -137
SG: P4/mmm, No. 123
Calculated volume, Å³/atom: 25.9

***

Entry 2:
A plane-wave DFT calculation with GGA-PBE was carried out for an optimized crystal structure of Pm12ZrTl3.

a b c (Å): 4.944 4.944 20.135
angles (deg): 90.00 90.00 90.00
Element x y z (fractional)
Pm  0.500  0.500  0.000
Pm  0.500  0.500  0.251
Pm  0.500  0.500  0.500
Pm  0.500  0.500  0.749
Pm  0.500  0.000  0.124
Pm  0.500  0.000  0.375
Pm  0.500  0.000  0.625
Pm  0.500  0.000  0.876
Pm  0.000  0.500  0.124
Pm  0.000  0.500  0.375
Pm  0.000  0.500  0.625
Pm  0.000  0.500  0.876
Zr  0.000  0.000  0.000
Tl  0.000  0.000  0.254
Tl  0.000  0.000  0.500
Tl  0.000  0.000  0.746

Properties
Energy of formation, meV/atom: -121
SG: P4/mmm, No. 123
Calculated volume, Å³/atom: 30.8

***

Entry 3:
A plane-wave DFT calculation with GGA-PBE was carried out for an optimized crystal structure of Pm6ZrTl5.

a b c (Å): 5.495 7.717 9.544
angles (deg): 113.85 106.73 90.00
Last column: magnetic moment on the atom in μB.
Element x y z (fractional)
Tl  0.344  0.844  0.689  -0.01
Tl  0.668  0.668  0.335  0.03
Tl  0.000  0.500  0.000  -0.01
Tl  0.332  0.332  0.665  0.03
Tl  0.656  0.156  0.311  -0.01
Zr  0.000  0.000  0.000  1.20
Pm  0.169  0.421  0.338  0.13
Pm  0.169  0.917  0.338  0.13
Pm  0.500  0.257  0.000  0.17
Pm  0.500  0.743  0.000  0.17
Pm  0.831  0.083  0.662  0.13
Pm  0.831  0.579  0.662  0.13

Properties
Energy of formation, meV/atom: -268
SG: Immm, No. 71
Calculated volume, Å³/atom: 29.3

***

Question: Number 1 is which compound?
Answer: PmZrTl2